[1]
## Cr3SbI (PBE)

Data for crystalline Cr3SbI at its relaxed geometry.

Its formation energy (no corrections) is 0.89 eV/atom. The density of states at the Fermi level comes out at 9.51 states/eV per cell.

It has space group Pm-3m (No. 221), with a = 5.3267 Å, b = 5.3267 Å, c = 5.3267 Å, α = 90.00°, β = 90.00° and γ = 90.00°. The asymmetric unit holds Cr at (0.0000, 0.0000, 0.5000), Sb at (0.0000, 0.0000, 0.0000) and I at (0.5000, 0.5000, 0.5000).

[2]
## Ga2AgBr (PBE)

Data for crystalline Ga2AgBr at its relaxed geometry.

Its formation energy (no corrections) is 0.08 eV/atom. The density of states at the Fermi level comes out at 3.20 states/eV per cell.

It has space group Fm-3m (No. 225), with a = 7.2303 Å, b = 7.2303 Å, c = 7.2303 Å, α = 90.00°, β = 90.00° and γ = 90.00°. The asymmetric unit holds Ga at (0.2500, 0.2500, 0.2500), Ag at (0.0000, 0.0000, 0.0000) and Br at (0.0000, 0.0000, 0.5000).

[3]
## AsRhSe2 (PBE)

Data for crystalline AsRhSe2 at its relaxed geometry.

Its formation energy (no corrections) is -0.08 eV/atom. The density of states at the Fermi level comes out at 4.37 states/eV per cell.

It has space group Immm (No. 71), with a = 3.6487 Å, b = 4.1038 Å, c = 11.8895 Å, α = 90.00°, β = 90.00° and γ = 90.00°. The asymmetric unit holds As at (0.0000, 0.0000, 0.0000), Rh at (0.0000, 0.0000, 0.5000) and Se at (0.0000, 0.5000, 0.1499).